Here is a relaxed Dy2Ni2B3N crystal from the Open Quantum Materials Database. Energies are from PBE-GGA.

Results
* calculated total energy: -6.80 eV per atom

Cell lengths 3.621, 3.621, 7.458 Å; angles 90.00, 90.00, 90.00 degrees
Atoms (fractional coordinates):
Dy (0.000, 0.000, 0.000)
Dy (0.500, 0.500, 0.341)
Ni (0.000, 0.500, 0.657)
Ni (0.500, 0.000, 0.657)
B (0.000, 0.000, 0.510)
B (0.500, 0.500, 0.001)
B (0.500, 0.500, 0.785)
N (0.000, 0.000, 0.316)

=====

Here is a relaxed SmDy2Ni2B2N3 crystal from the Open Quantum Materials Database. Energies are from PBE-GGA.

Results
* calculated total energy: -7.51 eV per atom

Cell lengths 10.417, 10.417, 10.417 Å; angles 160.63, 160.63, 27.53 degrees
Atoms (fractional coordinates):
Sm (0.000, 0.000, 0.000)
Dy (0.376, 0.376, 0.000)
Dy (0.624, 0.624, 0.000)
Ni (0.250, 0.750, 0.500)
Ni (0.750, 0.250, 0.500)
B (0.191, 0.191, 0.000)
B (0.809, 0.809, 0.000)
N (0.119, 0.119, 0.000)
N (0.500, 0.500, 0.000)
N (0.881, 0.881, 0.000)

=====

Here is a relaxed Sm2DyNi2B2N3 crystal from the Open Quantum Materials Database. Energies are from PBE-GGA.

Results
* calculated total energy: -7.51 eV per atom

Cell lengths 10.370, 10.370, 10.370 Å; angles 160.33, 160.33, 27.96 degrees
Atoms (fractional coordinates):
Sm (0.124, 0.124, 0.000)
Sm (0.876, 0.876, 0.000)
Dy (0.500, 0.500, 0.000)
Ni (0.250, 0.750, 0.500)
Ni (0.750, 0.250, 0.500)
B (0.310, 0.310, 0.000)
B (0.690, 0.690, 0.000)
N (0.000, 0.000, 0.000)
N (0.382, 0.382, 0.000)
N (0.618, 0.618, 0.000)

=====

Here is a relaxed DyTmNi2B2N2 crystal from the Open Quantum Materials Database. Energies are from PBE-GGA.

Results
* calculated total energy: -7.39 eV per atom

Cell lengths 3.468, 3.468, 7.489 Å; angles 90.00, 90.00, 90.00 degrees
Atoms (fractional coordinates):
Dy (0.000, 0.000, 0.000)
Tm (0.500, 0.500, 0.334)
Ni (0.000, 0.500, 0.667)
Ni (0.500, 0.000, 0.667)
B (0.000, 0.000, 0.506)
B (0.500, 0.500, 0.830)
N (0.000, 0.000, 0.311)
N (0.500, 0.500, 0.026)

=====

- Number 4 is which compound?
  DyTmNi2B2N2